No. 1
VASP calculation (PBE-GGA) on a relaxed Ac3OsN4 crystal.

## Properties
DOS(E_F)	0.52	states/eV per atom
space-group type	Pmn2_1 (31)
ρ	9.44	g/cm3
raw formation energy	-12.55	kcal/mol of atoms
crystal system	orthorhombic
magnetization	0.00	μB/f.u.

Cell and atoms, written as POSCAR:
```
Ac3OsN4
1.0
5.729 0.000 0.000
0.000 7.136 0.000
0.000 0.000 7.980
Ac Os N
6 2 8
Direct
0.042 0.135 0.500
0.043 0.668 0.746
0.543 0.332 0.754
0.542 0.865 0.000
0.543 0.332 0.246
0.043 0.668 0.254
0.550 0.827 0.500
0.050 0.173 0.000
0.553 0.698 0.286
0.053 0.302 0.786
0.553 0.698 0.714
0.050 0.901 0.000
0.180 0.820 0.500
0.680 0.180 0.000
0.550 0.099 0.500
0.053 0.302 0.214
```

---

No. 2
VASP calculation (PBE-GGA) on a relaxed Ac2OsN6 crystal.

## Properties
DOS(E_F)	0.92	states/eV per atom
space-group type	Fm-3m (225)
ρ	9.59	g/cm3
raw formation energy	9.14	kcal/mol of atoms
crystal system	cubic
magnetization	0.04	μB/f.u.

Cell and atoms, written as POSCAR:
```
Ac2OsN6
1.0
5.629 0.000 0.000
2.815 4.875 0.000
2.815 1.625 4.596
Os N Ac
1 6 2
Direct
0.000 0.000 0.000
0.754 0.754 0.246
0.246 0.246 0.754
0.246 0.754 0.246
0.754 0.246 0.754
0.754 0.246 0.246
0.246 0.754 0.754
0.750 0.750 0.750
0.250 0.250 0.250
```

---

Which of these has the lowest magnetization?
Ac3OsN4

---

What is the magnetization in the first record?
0.00 μB/f.u.

---

ρ of number 2 (Ac2OsN6)?
9.59 g/cm3